Compound: KHfCuTe4
Source: Alexandria
Functional: PBE
Structure: relaxed

Cell: 7.140 6.227 10.305 Å, 90.00 112.19 90.00°
Positions (direct):
K: 0.787 0.750 0.962
K: 0.213 0.250 0.038
Hf: 0.724 0.750 0.436
Hf: 0.276 0.250 0.564
Cu: 0.278 0.750 0.324
Cu: 0.722 0.250 0.676
Te: 0.024 0.508 0.687
Te: 0.976 0.008 0.313
Te: 0.976 0.492 0.313
Te: 0.024 0.992 0.687
Te: 0.435 0.750 0.146
Te: 0.565 0.250 0.854
Te: 0.450 0.750 0.591
Te: 0.550 0.250 0.409

Its uncorrected formation energy is -0.550 eV per atom. Its space-group type is P2_1/m (11).